# 1
First-principles (PBE-GGA) data for Hg2Te after structural relaxation, as listed in Alexandria via LeMat-Bulk.

**SG**: Pnnm (58)
**Polymorph energy (0 for the lowest one)**: 0.00 eV per formula unit
**Uncorrected formation energy**: -0.1 eV/f.u.

Unit cell a=5.884 b=7.262 c=4.681 alpha=90.00 beta=90.00 gamma=90.00
Element x y z (fractional)
Hg 0.197 0.119 0.000
Hg 0.303 0.619 0.500
Hg 0.697 0.381 0.500
Hg 0.803 0.881 0.000
Te 0.000 0.500 0.000
Te 0.500 0.000 0.500

# 2
First-principles (PBE-GGA) data for ThScAl2 after structural relaxation, as listed in Alexandria via LeMat-Bulk.

**SG**: Fm-3m (225)
**Polymorph energy (0 for the lowest one)**: 0.27 eV per formula unit
**Energy of formation from the pure elements**: -106.8 kJ/mol of formula units

Unit cell a=5.060 b=5.060 c=5.060 alpha=60.00 beta=60.00 gamma=60.00
Element x y z (fractional)
Th 0.000 0.000 0.000
Sc 0.500 0.500 0.500
Al 0.250 0.250 0.250
Al 0.750 0.750 0.750